No. 1
# Ce6InPb2 (PBE, relaxed)
# * ΔE_f: -0.188 eV/atom
# * crystal system: hexagonal
# * total DFT energy (no corrections): -5.2719 eV per atom
# * polymorph energy (0 for the lowest one): 0 meV/atom
data_Ce6InPb2
_space_group_name_H-M_alt 'P 6/m m m'
_space_group_IT_number 191
_space_group_name_Hall '-P 6 2'
_cell_length_a 9.1570
_cell_length_b 9.1570
_cell_length_c 3.2608
_cell_angle_alpha 90.00
_cell_angle_beta 90.00
_cell_angle_gamma 120.00
loop_
_atom_site_label
_atom_site_type_symbol
_atom_site_fract_x
_atom_site_fract_y
_atom_site_fract_z
Ce1 Ce 0.0000 0.3259 0.0000
In1 In 0.0000 0.0000 0.5000
Pb1 Pb 0.3333 0.6667 0.5000


No. 2
# YNi2Ge (PBE, relaxed)
# * ΔE_f: -0.258 eV/atom
# * crystal system: tetragonal
# * total DFT energy (no corrections): -5.9186 eV per atom
data_YNi2Ge
_space_group_name_H-M_alt 'I -4 2 d'
_space_group_IT_number 122
_space_group_name_Hall 'I -4 2bw'
_cell_length_a 4.411
_cell_length_b 4.411
_cell_length_c 15.944
_cell_angle_alpha 90.00
_cell_angle_beta 90.00
_cell_angle_gamma 90.00
loop_
_atom_site_label
_atom_site_type_symbol
_atom_site_fract_x
_atom_site_fract_y
_atom_site_fract_z
Y1 Y 0.000 0.000 0.000
Ni1 Ni 0.065 0.250 0.625
Ge1 Ge 0.000 0.000 0.500


No. 3
# Sn2Te2Pd (PBE, relaxed)
# * crystal system: tetragonal
# * total DFT energy (no corrections): -3.6602 eV per atom
data_Sn2Te2Pd
_space_group_name_H-M_alt 'I 4/m m m'
_space_group_IT_number 139
_space_group_name_Hall '-I 4 2'
_cell_length_a 4.051
_cell_length_b 4.051
_cell_length_c 16.795
_cell_angle_alpha 90.00
_cell_angle_beta 90.00
_cell_angle_gamma 90.00
loop_
_atom_site_label
_atom_site_type_symbol
_atom_site_fract_x
_atom_site_fract_y
_atom_site_fract_z
Sn1 Sn 0.000 0.500 0.250
Te1 Te 0.000 0.000 0.087
Pd1 Pd 0.000 0.000 0.500


No. 4
# Ta2Ti7Nb2 (PBE, relaxed)
# * ΔE_f: 0.253 eV/atom
# * crystal system: monoclinic
# * total DFT energy (no corrections): -8.7567 eV per atom
data_Ta2Ti7Nb2
_space_group_name_H-M_alt 'P 1 2/m 1'
_space_group_IT_number 10
_cell_length_a 4.724
_cell_length_b 7.514
_cell_length_c 5.668
_cell_angle_alpha 90.00
_cell_angle_beta 90.19
_cell_angle_gamma 90.00
loop_
_space_group_symop_operation_xyz
'x,y,z'
'-x,-y,-z'
'-x,y,-z'
'x,-y,z'
loop_
_atom_site_label
_atom_site_type_symbol
_atom_site_fract_x
_atom_site_fract_y
_atom_site_fract_z
Ta1 Ta 0.001 0.000 0.253
Ti1 Ti 0.000 0.317 0.000
Ti2 Ti 0.000 0.332 0.500
Ti3 Ti 0.500 0.000 0.000
Ti4 Ti 0.500 0.171 0.500
Nb1 Nb 0.500 0.500 0.242


No. 5
# ZrTlHS2 (PBE, relaxed)
# * crystal system: tetragonal
# * total DFT energy (no corrections): -4.3964 eV per atom
# * polymorph energy (0 for the lowest one): 835 meV/atom
data_ZrTlHS2
_space_group_name_H-M_alt 'P 4/m m m'
_space_group_IT_number 123
_space_group_name_Hall '-P 4 2'
_cell_length_a 5.236
_cell_length_b 5.236
_cell_length_c 3.521
_cell_angle_alpha 90.00
_cell_angle_beta 90.00
_cell_angle_gamma 90.00
loop_
_atom_site_label
_atom_site_type_symbol
_atom_site_fract_x
_atom_site_fract_y
_atom_site_fract_z
Zr1 Zr 0.000 0.000 0.000
Tl1 Tl 0.500 0.500 0.500
H1 H 0.500 0.500 0.000
S1 S 0.000 0.500 0.500


No. 6
# AcSm2Pb (PBE, relaxed)
# * ΔE_f: 0.073 eV/atom
# * crystal system: trigonal
# * total DFT energy (no corrections): -4.2411 eV per atom
# * polymorph energy (0 for the lowest one): 343 meV/atom
data_AcSm2Pb
_space_group_name_H-M_alt 'R -3 m'
_space_group_IT_number 166
_space_group_name_Hall '-R 3 2"'
_cell_length_a 3.7030
_cell_length_b 3.7030
_cell_length_c 37.4119
_cell_angle_alpha 90.00
_cell_angle_beta 90.00
_cell_angle_gamma 120.00
loop_
_atom_site_label
_atom_site_type_symbol
_atom_site_fract_x
_atom_site_fract_y
_atom_site_fract_z
Ac1 Ac 0.0000 0.0000 0.0000
Sm1 Sm 0.0000 0.0000 0.4141
Pb1 Pb 0.0000 0.0000 0.5000